The following is a PBE-GGA calculation of crystalline KReTe2 at its relaxed geometry, from Alexandria via LeMat-Bulk.

The space group is P4/mmm (No. 123) and the conventional cell measures 3.396, 3.396 and 8.568 Å, with angles of 90.00, 90.00 and 90.00 degrees. The inequivalent atoms are K at (0.000, 0.000, 0.000), Re at (0.000, 0.000, 0.500) and Te at (0.500, 0.500, 0.311).

Its excess energy over the best structure of this formula in the dataset is 0.2479 eV/atom. The calculation puts the density of states at the Fermi level at 2.50 states/eV per cell. The calculation puts the total moment at 0.0 μB/f.u. The energy relative to the elements, uncorrected is 0.21 eV/atom.